BaAsP3 GGA-PBE relaxed; SG = Pm-3m; crystal system = cubic; energy relative to the lowest polymorph listed for this composition = 0.000 eV per atom; formation energy from the elements = 0.13 eV per atom; spin magnetization = 0.0 μB/cell; uncorrected energy = -4.435 eV per atom
1.0
-1.420 3.603 -3.052
-3.774 1.050 2.995
2.838 3.198 2.455
As P Ba
1 3 1
Direct
0.000 0.000 0.000 As
0.500 0.000 0.000 P
0.000 0.000 0.500 P
0.000 0.500 0.000 P
0.500 0.500 0.500 Ba